*w*
The following is a PBE calculation of a geometry-optimized GaGePd2 structure, from the Alexandria database.

The structure in CIF format:
```
data_GaGePd2
_cell_length_a 6.273
_cell_length_b 6.273
_cell_length_c 6.273
_cell_angle_alpha 90.00
_cell_angle_beta 90.00
_cell_angle_gamma 90.00
_space_group_name_H-M_alt 'F m -3 m'
_space_group_IT_number 225
_space_group_name_Hall '-F 4 2 3'
loop_
_atom_site_label
_atom_site_type_symbol
_atom_site_fract_x
_atom_site_fract_y
_atom_site_fract_z
Ga1 Ga 0.000 0.000 0.000
Ge1 Ge 0.000 0.000 0.500
Pd1 Pd 0.250 0.250 0.250
```

Output
Density of states at the Fermi level: 0.352 states/eV per atom
ρ: 9.6 g/cm3
Magnetization: 0.0 Bohr magnetons per cell

=====

*x*
The following is a PBE calculation of a geometry-optimized GaGePd2 structure, from the Alexandria database.

The structure in CIF format:
```
data_GaGePd2
_cell_length_a 6.655
_cell_length_b 3.322
_cell_length_c 11.834
_cell_angle_alpha 90.00
_cell_angle_beta 90.00
_cell_angle_gamma 90.00
_space_group_name_H-M_alt 'P n m a'
_space_group_IT_number 62
loop_
_space_group_symop_operation_xyz
'x,y,z'
'-x,-y,-z'
'-x+1/2,-y,z+1/2'
'x+1/2,y,-z+1/2'
'x+1/2,-y+1/2,-z+1/2'
'-x+1/2,y+1/2,z+1/2'
'-x,y+1/2,-z'
'x,-y+1/2,z'
loop_
_atom_site_label
_atom_site_type_symbol
_atom_site_fract_x
_atom_site_fract_y
_atom_site_fract_z
Ga1 Ga 0.042 0.250 0.087
Ge1 Ge 0.099 0.750 0.345
Pd1 Pd 0.182 0.750 0.735
Pd2 Pd 0.188 0.250 0.512
```

Output
Density of states at the Fermi level: 0.314 states/eV per atom
ρ: 9.0 g/cm3
Magnetization: 0.0 Bohr magnetons per cell

=====

*y*
The following is a PBE calculation of a geometry-optimized GaGePd2 structure, from the Alexandria database.

The structure in CIF format:
```
data_GaGePd2
_cell_length_a 4.0835
_cell_length_b 4.0835
_cell_length_c 14.2377
_cell_angle_alpha 90.00
_cell_angle_beta 90.00
_cell_angle_gamma 120.00
_space_group_name_H-M_alt 'R 3 m'
_space_group_IT_number 160
_space_group_name_Hall 'R 3 -2"'
loop_
_atom_site_label
_atom_site_type_symbol
_atom_site_fract_x
_atom_site_fract_y
_atom_site_fract_z
Ga1 Ga 0.0000 0.0000 0.0000
Ge1 Ge 0.0000 0.0000 0.1868
Pd1 Pd 0.0000 0.0000 0.4080
Pd2 Pd 0.0000 0.0000 0.6020
```

Output
Density of states at the Fermi level: 0.353 states/eV per atom
ρ: 8.6 g/cm3
Magnetization: 0.0 Bohr magnetons per cell

=====

*z*
The following is a PBE calculation of a geometry-optimized GaGePd2 structure, from the Alexandria database.

The structure in CIF format:
```
data_GaGePd2
_cell_length_a 6.976
_cell_length_b 6.976
_cell_length_c 5.608
_cell_angle_alpha 90.00
_cell_angle_beta 90.00
_cell_angle_gamma 90.00
_space_group_name_H-M_alt 'I -4 2 d'
_space_group_IT_number 122
_space_group_name_Hall 'I -4 2bw'
loop_
_atom_site_label
_atom_site_type_symbol
_atom_site_fract_x
_atom_site_fract_y
_atom_site_fract_z
Ga1 Ga 0.000 0.000 0.000
Ge1 Ge 0.000 0.000 0.500
Pd1 Pd 0.246 0.250 0.125
```

Output
Density of states at the Fermi level: 0.595 states/eV per atom
ρ: 8.6 g/cm3
Magnetization: 0.0 Bohr magnetons per cell

=====

Question: of the structures shown, which is the most stable? Reply: *x*.